Entry from Alexandria: a relaxed structure of KInNiRh2 (PBE).

abc: 4.7363 4.7363 4.8801
angles: 90.00 90.00 90.00
Closest atoms and distances in Å follow each position.
Atoms (fractional coordinates):
K 0.0000 0.0000 0.0000  4 In 3.35, 8 Rh 3.40
In 0.5000 0.5000 0.0000  2 Ni 2.44
Ni 0.5000 0.5000 0.5000  4 Rh 2.37, 2 In 2.44
Rh 0.0000 0.5000 0.5000  2 Ni 2.37
Rh 0.5000 0.0000 0.5000  2 Ni 2.37

## Properties
ρ   6.35 g/cm3
ΔH_f (0 K)   0.62 eV/atom
E_tot   -4.2472 eV/atom
Crystal system   tetragonal